1.
A relaxed structure of MgTaCu2, computed with GGA-PBE.

Output
Energy of formation, meV per atom: 169
M_tot, μB/cell: 0.0
DOS at the Fermi energy, states/eV/f.u.: 2.0

Structure (CIF):
```
data_MgTaCu2
_chemical_formula_sum 'Mg2 Ta2 Cu4'
_cell_length_a 2.749
_cell_length_b 4.616
_cell_length_c 9.712
_cell_angle_alpha 90.00
_cell_angle_beta 90.00
_cell_angle_gamma 90.00
_symmetry_space_group_name_H-M 'I m m 2'
_symmetry_Int_Tables_number 44
loop_
_symmetry_equiv_pos_as_xyz
'x,y,z'
'-x,-y,z'
'-x,y,z'
'x,-y,z'
'x+1/2,y+1/2,z+1/2'
'-x+1/2,-y+1/2,z+1/2'
'-x+1/2,y+1/2,z+1/2'
'x+1/2,-y+1/2,z+1/2'
loop_
_atom_site_label
_atom_site_type_symbol
_atom_site_fract_x
_atom_site_fract_y
_atom_site_fract_z
Mg1 Mg 0.000 0.000 0.000
Ta1 Ta 0.000 0.500 0.785
Cu1 Cu 0.000 0.000 0.530
Cu2 Cu 0.000 0.500 0.244
```



2.
A relaxed structure of MgTaCu3, computed with GGA-PBE.

Output
Energy of formation, meV per atom: 1151
M_tot, μB/cell: 0.0
DOS at the Fermi energy, states/eV/f.u.: 5.0

Structure (CIF):
```
data_MgTaCu3
_chemical_formula_sum 'Mg1 Ta1 Cu3'
_cell_length_a 4.321
_cell_length_b 4.321
_cell_length_c 4.321
_cell_angle_alpha 90.00
_cell_angle_beta 90.00
_cell_angle_gamma 90.00
_symmetry_space_group_name_H-M 'P m -3 m'
_symmetry_Int_Tables_number 221
_symmetry_space_group_name_Hall '-P 4 2 3'
loop_
_atom_site_label
_atom_site_type_symbol
_atom_site_fract_x
_atom_site_fract_y
_atom_site_fract_z
Mg1 Mg 0.000 0.000 0.000
Ta1 Ta 0.500 0.500 0.500
Cu1 Cu 0.000 0.000 0.500
```



DOS at the Fermi energy of number 2 (MgTaCu3)? 5.0 states/eV/f.u.